Compound: NbCd3I6
Source: OQMD
Functional: GGA-PBE
Structure: relaxed

```
NbCd3I6
1.0
7.5003 0.0000 0.0000
-3.7502 6.4955 0.0000
0.0000 0.0000 7.5266
I Nb Cd
6 1 3
Cartesian
2.6051 4.5121 5.7855 I
-1.1451 1.9834 5.7855 I
5.2101 0.0000 1.7410 I
-2.6051 4.5121 1.7410 I
2.2902 0.0000 5.7855 I
1.1451 1.9834 1.7410 I
0.0000 0.0000 0.0000 Nb
0.0000 0.0000 3.7633 Cd
3.7502 2.1652 3.7633 Cd
0.0000 4.3303 3.7633 Cd
```

Results
crystal system	trigonal
space-group type	P-31m (162)
DFT total energy	-24.3	eV/cell